Record 1
The following is a DFT calculation (PBE) of a relaxed Pm3Si2O8 crystal.

magnetic moment	0.0	μB per formula unit
energy relative to the elements, uncorrected	-39.44	eV/f.u.

Cell lengths 5.4116, 5.4116, 19.2301 Å; angles 90.00, 90.00, 120.00 degrees
Space group R-3m (No. 166, hexagonal axes)
Inequivalent atoms, fractional coordinates:
Pm 0.0000 0.0000 0.0000 [3 per cell]
Pm 0.0000 0.0000 0.2027 [6 per cell]
Si 0.0000 0.0000 0.4058 [6 per cell]
O 0.0000 0.0000 0.3211 [6 per cell]
O 0.0008 0.5004 0.2326 [18 per cell]

Record 2
The following is a DFT calculation (PBE) of a relaxed Pm12Si5O2 crystal.

magnetic moment	0.0	μB per formula unit
energy relative to the elements, uncorrected	-16.60	eV/f.u.

Cell lengths 16.613, 7.409, 8.864 Å; angles 90.00, 105.63, 90.00 degrees
Space group C2/m (No. 12)
Inequivalent atoms, fractional coordinates:
Pm 0.002 0.000 0.203 [4 per cell]
Pm 0.003 0.500 0.823 [4 per cell]
Pm 0.149 0.255 0.572 [8 per cell]
Pm 0.158 0.256 0.082 [8 per cell]
Si 0.000 0.500 0.500 [2 per cell]
Si 0.182 0.000 0.843 [4 per cell]
Si 0.192 0.000 0.345 [4 per cell]
O 0.000 0.234 0.000 [4 per cell]

Record 3
The following is a DFT calculation (PBE) of a relaxed Pm3SiO crystal.

magnetic moment	0.0	μB per formula unit
energy above the most stable polymorph in this dataset	0.0	meV per atom
energy relative to the elements, uncorrected	-6.56	eV/f.u.

Cell lengths 4.820, 4.820, 4.820 Å; angles 90.00, 90.00, 90.00 degrees
Space group Pm-3m (No. 221)
Inequivalent atoms, fractional coordinates:
Pm 0.000 0.000 0.500 [3 per cell]
Si 0.500 0.500 0.500 [1 per cell]
O 0.000 0.000 0.000 [1 per cell]